i) A plane-wave DFT calculation with GGA-PBE was carried out for Mn2HBr after structural relaxation.

Unit cell a=3.9546 b=3.9546 c=3.9546 alpha=60.00 beta=60.00 gamma=60.00
Sites, in units of the cell vectors:
H 0.0000 0.0000 0.0000
Mn 0.2500 0.2500 0.2500
Mn 0.7500 0.7500 0.7500
Br 0.5000 0.5000 0.5000

Computed properties:
D(E_F)	6.4	states/eV/f.u.
size of the total moment	2.37	Bohr magnetons per cell
crystal system	cubic

ii) A plane-wave DFT calculation with GGA-PBE was carried out for Mn2HBr after structural relaxation.

Unit cell a=5.3657 b=5.3657 c=5.7548 alpha=62.21 beta=62.21 gamma=90.00
Sites, in units of the cell vectors:
H 0.5000 0.5000 0.0000
H 0.2500 0.7500 0.5000
Mn 0.5053 0.1250 0.2500
Mn 0.2447 0.6250 0.2500
Mn 0.3750 0.4947 0.7500
Mn 0.8750 0.7553 0.7500
Br 0.0000 0.0000 0.0000
Br 0.7500 0.2500 0.5000

Computed properties:
D(E_F)	0.8	states/eV/f.u.
size of the total moment	16.00	Bohr magnetons per cell
crystal system	tetragonal

Which structure is the least stable? The one labeled i).